Entry 1:
A plane-wave DFT calculation with PBEsol was carried out for crystalline IrW at its relaxed geometry.

Results
The value obtained for the polymorph energy (0 for the lowest one) is 0 meV/atom. For the total energy, the calculation gives -48.52 eV per cell. The value obtained for the formation energy is -0.315 eV/atom.

Unit cell a=4.439 b=2.760 c=4.808 alpha=90.00 beta=90.00 gamma=90.00
Space group Pmma (No. 51)
Unique sites:
Ir (0.250, 0.000, 0.176) [2 per cell]
W (0.250, 0.500, 0.673) [2 per cell]

***

Entry 2:
A plane-wave DFT calculation with PBEsol was carried out for crystalline KCoAs2 at its relaxed geometry.

Results
The value obtained for the polymorph energy (0 for the lowest one) is 393 meV/atom. For the total energy, the calculation gives -32.76 eV per cell. The value obtained for the formation energy is 0.675 eV/atom.

Unit cell a=4.164 b=4.164 c=8.665 alpha=90.00 beta=90.00 gamma=90.00
Space group I-4m2 (No. 119)
Unique sites:
K (0.000, 0.000, 0.000) [2 per cell]
Co (0.000, 0.500, 0.750) [2 per cell]
As (0.000, 0.000, 0.500) [2 per cell]
As (0.000, 0.500, 0.250) [2 per cell]

***

Entry 3:
A plane-wave DFT calculation with PBEsol was carried out for crystalline SbAs3Pt at its relaxed geometry.

Results
The value obtained for the uncorrected formation energy is 1.52 eV per atom. For the total energy, the calculation gives -19.25 eV per cell.

Unit cell a=5.066 b=5.066 c=5.066 alpha=90.00 beta=90.00 gamma=90.00
Space group Pm-3m (No. 221)
Unique sites:
Sb (0.000, 0.000, 0.000) [1 per cell]
As (0.000, 0.000, 0.500) [3 per cell]
Pt (0.500, 0.500, 0.500) [1 per cell]

***

no.,theoretical density (g cm⁻³),M_tot (μB per cell)
1,21.199,0.00
2,5.480,2.85
3,6.917,0.00